VASP calculation (GGA-PBEsol) on crystalline LaHg3 at its relaxed geometry.

```
8
Lattice="4.964 0.000 0.000 0.000 6.777 -0.007 0.000 -3.361 5.885" Properties=species:S:1:pos:R:3 pbc="T T T"
Hg 3.723 1.626 0.911
Hg 3.723 5.126 0.953
Hg 1.241 -0.014 1.864
Hg 3.723 3.430 4.014
Hg 1.241 1.789 4.967
Hg 1.241 -1.710 4.925
La 1.241 3.364 1.976
La 3.723 0.051 3.901
```

Summary:
Density: 12.43 g cm⁻³
Energy of formation from the pure elements: -0.5125 eV per atom
Total magnetic moment: 0.001 Bohr magnetons per cell


VASP calculation (GGA-PBEsol) on crystalline La3Hg2 at its relaxed geometry.

```
10
Lattice="-5.915 1.699 1.553 -4.537 -4.566 0.686 4.800 -1.517 6.973" Properties=species:S:1:pos:R:3 pbc="T T T"
La -7.429 -3.175 3.130
La -0.532 0.153 0.140
La -4.556 -2.310 6.643
La -1.878 -2.464 4.357
La -4.971 -0.960 3.586
La 0.859 -0.946 6.323
Hg -4.477 -4.377 4.010
Hg -1.428 -2.911 7.533
Hg -2.772 -1.890 1.297
Hg -2.681 0.425 5.597
```

Summary:
Density: 9.49 g cm⁻³
Energy of formation from the pure elements: -0.3857 eV per atom
Total magnetic moment: 0.000 Bohr magnetons per cell


VASP calculation (GGA-PBEsol) on crystalline La3Hg at its relaxed geometry.

```
8
Lattice="-5.689 -0.410 -0.357 0.335 -5.910 1.438 -0.528 1.576 6.601" Properties=species:S:1:pos:R:3 pbc="T T T"
La -0.065 -2.727 4.156
La -2.681 -5.011 2.726
La -2.708 -2.600 0.404
La -0.092 -0.317 1.833
La -0.355 0.467 5.115
La -2.946 -4.218 6.046
Hg 0.221 -3.888 0.946
Hg -2.994 -1.439 3.614
```

Summary:
Density: 8.65 g cm⁻³
Relative energy among the computed polymorphs: 26 meV/atom
Energy of formation from the pure elements: -0.2471 eV per atom
Total magnetic moment: 0.000 Bohr magnetons per cell


VASP calculation (GGA-PBEsol) on crystalline Li2LaHg at its relaxed geometry.

```
4
Lattice="3.419 0.000 0.008 0.000 5.214 0.000 -0.327 0.000 5.455" Properties=species:S:1:pos:R:3 pbc="T T T"
Hg 1.709 2.607 0.004
La -0.164 2.607 2.727
Li 1.935 0.000 4.261
Li 1.157 0.000 1.201
```

Summary:
Density: 6.03 g cm⁻³
Energy of formation from the pure elements: -0.1694 eV per atom
Total magnetic moment: 0.000 Bohr magnetons per cell


Q: Look up the total magnetic moment of the first one.
A: 0.001 Bohr magnetons per cell